Record 1
DFT (PBE) results for crystalline LaBeMo2 at its relaxed geometry.

Structure (POSCAR):
```
LaBeMo2
1.0
2.924 -0.023 0.000
-1.005 2.746 0.000
0.000 0.000 8.864
Mo Be La
2 1 1
Cartesian
0.959 1.361 2.359
0.000 0.000 0.336
0.000 0.000 4.057
0.959 1.361 6.544
```

Properties
E: -7.102 eV per atom
Magnetic moment: 0.00 μB/cell
ρ: 7.953 Mg/m³
E_form: 477 meV/atom

---

Record 2
DFT (PBE) results for crystalline La2BeMo at its relaxed geometry.

Structure (POSCAR):
```
La2BeMo
1.0
-4.746 4.298 4.855
2.822 -4.037 1.091
1.621 1.876 2.740
Mo La Be
1 2 1
Cartesian
2.222 -1.080 1.915
-1.563 3.087 3.797
0.000 0.000 0.000
-0.962 0.130 2.973
```

Properties
E: -5.618 eV per atom
Magnetic moment: 0.92 μB/cell
ρ: 6.758 Mg/m³
E_form: 485 meV/atom